Record 1
An optimized crystal structure of Os2RhAu, computed with GGA-PBEsol.

Calculated values
energy relative to the elements: 0.399 eV/atom
volume: 14.4 Å³/atom

Cell: 4.7461 4.7461 4.7461 Å, 132.23 132.23 69.87°
Element x y z (fractional)
Os: 0.0000 0.0000 0.0000
Os: 0.7500 0.2500 0.5000
Rh: 0.5000 0.5000 0.0000
Au: 0.2500 0.7500 0.5000

***

Record 2
An optimized crystal structure of CsTeF3, computed with GGA-PBEsol.

Calculated values
volume: 21.2 Å³/atom
uncorrected formation energy: -9.107 eV per formula unit

Cell: 4.7351 4.7351 4.7351 Å, 90.00 90.00 90.00°
Element x y z (fractional)
Cs: 0.0000 0.0000 0.0000
Te: 0.5000 0.5000 0.5000
F: 0.0000 0.5000 0.5000
F: 0.5000 0.0000 0.5000
F: 0.5000 0.5000 0.0000

***

Record 3
An optimized crystal structure of Ta2AgPt, computed with GGA-PBEsol.

Calculated values
energy relative to the elements: -0.138 eV/atom
volume: 16.3 Å³/atom

Cell: 2.7712 4.6425 5.0572 Å, 90.00 90.16 90.00°
Element x y z (fractional)
Ta: 0.0000 0.0000 0.0000
Ta: 0.0063 0.5000 0.6575
Ag: 0.5040 0.5000 0.1649
Pt: 0.5022 0.0000 0.4926

***

Record 4
An optimized crystal structure of Li3CuSn, computed with GGA-PBEsol.

Calculated values
energy relative to the elements: 0.117 eV/atom
volume: 18.3 Å³/atom

Cell: 4.5025 4.5025 4.5025 Å, 90.00 90.00 90.00°
Element x y z (fractional)
Li: 0.0000 0.0000 0.5000
Li: 0.0000 0.5000 0.0000
Li: 0.5000 0.0000 0.0000
Cu: 0.0000 0.0000 0.0000
Sn: 0.5000 0.5000 0.5000